Record 1
CaSi2Te | PBE | relaxed

Results
- calculated total energy (eV per atom) = -4.0590
- energy relative to the lowest polymorph listed for this composition (eV per formula unit) = 0.751
- mass density (kg/m³) = 3890
- raw formation energy (eV/atom) = -0.06

Geometry as CIF:
```
data_CaSi2Te
_chemical_formula_sum 'Ca1 Si2 Te1'
_cell_length_a 4.214
_cell_length_b 6.147
_cell_length_c 4.213
_cell_angle_alpha 70.12
_cell_angle_beta 89.58
_cell_angle_gamma 109.89
_symmetry_space_group_name_H-M 'P 1'
_symmetry_Int_Tables_number 1
loop_
_symmetry_equiv_pos_as_xyz
'x,y,z'
loop_
_atom_site_label
_atom_site_type_symbol
_atom_site_fract_x
_atom_site_fract_y
_atom_site_fract_z
Si1 Si 0.500 0.000 0.500
Si2 Si 0.000 0.000 0.000
Te1 Te 0.000 0.500 0.500
Ca1 Ca 0.500 0.500 0.000
```



Record 2
CaSi2Te | PBE | relaxed

Results
- calculated total energy (eV per atom) = -3.9570
- energy relative to the lowest polymorph listed for this composition (eV per formula unit) = 1.159
- mass density (kg/m³) = 3852
- raw formation energy (eV/atom) = 0.04

Geometry as CIF:
```
data_CaSi2Te
_chemical_formula_sum 'Ca1 Si2 Te1'
_cell_length_a 3.985
_cell_length_b 3.955
_cell_length_c 6.123
_cell_angle_alpha 90.00
_cell_angle_beta 90.00
_cell_angle_gamma 90.00
_symmetry_space_group_name_H-M 'P 1'
_symmetry_Int_Tables_number 1
loop_
_symmetry_equiv_pos_as_xyz
'x,y,z'
loop_
_atom_site_label
_atom_site_type_symbol
_atom_site_fract_x
_atom_site_fract_y
_atom_site_fract_z
Si1 Si 0.000 0.000 0.057
Si2 Si 0.000 0.000 0.443
Ca1 Ca 0.500 0.500 0.750
Te1 Te 0.500 0.500 0.250
```



Record 3
CaSiTe2 | PBE | relaxed

Results
- calculated total energy (eV per atom) = -3.7997
- energy relative to the lowest polymorph listed for this composition (eV per formula unit) = 1.188
- mass density (kg/m³) = 4936
- raw formation energy (eV/atom) = -0.37

Geometry as CIF:
```
data_CaSiTe2
_chemical_formula_sum 'Ca1 Si1 Te2'
_cell_length_a 5.721
_cell_length_b 5.721
_cell_length_c 5.721
_cell_angle_alpha 136.95
_cell_angle_beta 118.92
_cell_angle_gamma 77.62
_symmetry_space_group_name_H-M 'P 1'
_symmetry_Int_Tables_number 1
loop_
_symmetry_equiv_pos_as_xyz
'x,y,z'
loop_
_atom_site_label
_atom_site_type_symbol
_atom_site_fract_x
_atom_site_fract_y
_atom_site_fract_z
Ca1 Ca 0.750 0.250 0.500
Te1 Te 0.461 0.461 0.000
Te2 Te 0.039 0.039 0.000
Si1 Si 0.250 0.750 0.500
```



Record 4
CaSiTe2 | PBE | relaxed

Results
- calculated total energy (eV per atom) = -4.0728
- energy relative to the lowest polymorph listed for this composition (eV per formula unit) = 0.096
- mass density (kg/m³) = 4480
- raw formation energy (eV/atom) = -0.65

Geometry as CIF:
```
data_CaSiTe2
_chemical_formula_sum 'Ca1 Si1 Te2'
_cell_length_a 4.356
_cell_length_b 4.356
_cell_length_c 6.316
_cell_angle_alpha 90.00
_cell_angle_beta 90.00
_cell_angle_gamma 90.00
_symmetry_space_group_name_H-M 'P 1'
_symmetry_Int_Tables_number 1
loop_
_symmetry_equiv_pos_as_xyz
'x,y,z'
loop_
_atom_site_label
_atom_site_type_symbol
_atom_site_fract_x
_atom_site_fract_y
_atom_site_fract_z
Te1 Te 0.500 0.500 0.407
Te2 Te 0.000 0.000 0.878
Ca1 Ca 0.000 0.000 0.381
Si1 Si 0.500 0.500 0.834
```



Record 5
Ca2TiSiTe | PBE | relaxed

Results
- calculated total energy (eV per atom) = -3.5398
- mass density (kg/m³) = 2698
- raw formation energy (eV/atom) = 0.55

Geometry as CIF:
```
data_Ca2TiSiTe
_chemical_formula_sum 'Ca2 Ti1 Si1 Te1'
_cell_length_a 5.887
_cell_length_b 5.039
_cell_length_c 5.887
_cell_angle_alpha 90.00
_cell_angle_beta 90.00
_cell_angle_gamma 90.00
_symmetry_space_group_name_H-M 'P 1'
_symmetry_Int_Tables_number 1
loop_
_symmetry_equiv_pos_as_xyz
'x,y,z'
loop_
_atom_site_label
_atom_site_type_symbol
_atom_site_fract_x
_atom_site_fract_y
_atom_site_fract_z
Ca1 Ca 0.000 0.000 0.500
Ca2 Ca 0.500 0.000 0.000
Ti1 Ti 0.000 0.000 0.000
Te1 Te 0.000 0.500 0.000
Si1 Si 0.500 0.500 0.500
```



Record 6
CaThSi | PBE | relaxed

Results
- calculated total energy (eV per atom) = -5.2226
- mass density (kg/m³) = 5682
- raw formation energy (eV/atom) = -0.27

Geometry as CIF:
```
data_CaThSi
_chemical_formula_sum 'Ca2 Th2 Si2'
_cell_length_a 4.925
_cell_length_b 4.925
_cell_length_c 8.823
_cell_angle_alpha 73.79
_cell_angle_beta 73.79
_cell_angle_gamma 60.00
_symmetry_space_group_name_H-M 'P 1'
_symmetry_Int_Tables_number 1
loop_
_symmetry_equiv_pos_as_xyz
'x,y,z'
loop_
_atom_site_label
_atom_site_type_symbol
_atom_site_fract_x
_atom_site_fract_y
_atom_site_fract_z
Si1 Si 0.252 0.252 0.243
Si2 Si 0.748 0.748 0.757
Ca1 Ca 0.872 0.872 0.385
Ca2 Ca 0.128 0.128 0.615
Th1 Th 0.624 0.624 0.128
Th2 Th 0.376 0.376 0.872
```



Record 7
CaThSi3 | PBE | relaxed

Results
- calculated total energy (eV per atom) = -5.7138
- mass density (kg/m³) = 5488
- raw formation energy (eV/atom) = -0.58

Geometry as CIF:
```
data_CaThSi3
_chemical_formula_sum 'Ca2 Th2 Si6'
_cell_length_a 3.984
_cell_length_b 4.310
_cell_length_c 12.742
_cell_angle_alpha 99.74
_cell_angle_beta 90.00
_cell_angle_gamma 90.00
_symmetry_space_group_name_H-M 'P 1'
_symmetry_Int_Tables_number 1
loop_
_symmetry_equiv_pos_as_xyz
'x,y,z'
loop_
_atom_site_label
_atom_site_type_symbol
_atom_site_fract_x
_atom_site_fract_y
_atom_site_fract_z
Si1 Si 0.750 0.524 0.049
Si2 Si 0.250 0.673 0.346
Si3 Si 0.750 0.327 0.654
Si4 Si 0.750 0.618 0.237
Si5 Si 0.250 0.382 0.763
Si6 Si 0.250 0.476 0.951
Th1 Th 0.250 0.070 0.139
Th2 Th 0.750 0.930 0.861
Ca1 Ca 0.750 0.203 0.405
Ca2 Ca 0.250 0.797 0.595
```



Record 8
CaTh2Si6 | PBE | relaxed

Results
- calculated total energy (eV per atom) = -6.0033
- mass density (kg/m³) = 6059
- raw formation energy (eV/atom) = -0.52

Geometry as CIF:
```
data_CaTh2Si6
_chemical_formula_sum 'Ca1 Th2 Si6'
_cell_length_a 4.179
_cell_length_b 7.137
_cell_length_c 7.137
_cell_angle_alpha 120.00
_cell_angle_beta 90.00
_cell_angle_gamma 90.00
_symmetry_space_group_name_H-M 'P 1'
_symmetry_Int_Tables_number 1
loop_
_symmetry_equiv_pos_as_xyz
'x,y,z'
loop_
_atom_site_label
_atom_site_type_symbol
_atom_site_fract_x
_atom_site_fract_y
_atom_site_fract_z
Si1 Si 0.500 0.335 0.335
Si2 Si 0.500 0.000 0.665
Si3 Si 0.500 0.335 0.000
Si4 Si 0.500 0.665 0.665
Si5 Si 0.500 0.665 0.000
Si6 Si 0.500 0.000 0.335
Th1 Th 0.000 0.333 0.667
Th2 Th 0.000 0.667 0.333
Ca1 Ca 0.000 0.000 0.000
```